Computed, not measured: an optimized crystal structure of Sr6LiGa2 at the PBE level of DFT.

Properties
As for the crystal system: orthorhombic. As for the symmetry: Immm, No. 71. The value obtained for the density of states at the Fermi level is 11.7 states/eV/f.u. The formation energy is -16 kJ per mole of atoms.

Unit cell a=9.863 b=9.863 c=9.863 alpha=104.07 beta=111.27 gamma=113.22
Fractional positions:
Sr (0.537, 0.719, 0.818)
Sr (0.463, 0.281, 0.182)
Sr (0.100, 0.281, 0.818)
Sr (0.900, 0.719, 0.182)
Sr (0.804, 0.756, 0.559)
Sr (0.196, 0.244, 0.441)
Sr (0.196, 0.756, 0.952)
Sr (0.804, 0.244, 0.048)
Sr (0.676, 0.343, 0.666)
Sr (0.324, 0.657, 0.334)
Sr (0.324, 0.990, 0.666)
Sr (0.676, 0.010, 0.334)
Li (0.000, 0.500, 0.500)
Li (0.000, 0.000, 0.000)
Ga (0.500, 0.391, 0.891)
Ga (0.500, 0.609, 0.109)
Ga (0.686, 0.000, 0.686)
Ga (0.314, 0.000, 0.314)

=====

Computed, not measured: an optimized crystal structure of Li2BF at the PBE level of DFT.

Properties
As for the crystal system: cubic. As for the symmetry: Fm-3m, No. 225. Its energy above the most stable polymorph in this dataset is 524 meV/atom. The value obtained for the density of states at the Fermi level is 3.1 states/eV/f.u. The energy relative to the elements, uncorrected is -0.080 eV per atom.

Unit cell a=4.040 b=4.040 c=4.040 alpha=60.00 beta=60.00 gamma=60.00
Fractional positions:
B (0.000, 0.000, 0.000)
Li (0.250, 0.250, 0.250)
Li (0.750, 0.750, 0.750)
F (0.500, 0.500, 0.500)